Record 1
# PBE-GGA K2AsF5, optimized geometry
# Size of the total moment ... 0.0 μB/cell
# N(E_F) ... 0.000 states/eV/f.u.
# Formation energy from raw total energies ... -1902 kJ/mol of formula units
data_K2AsF5
_symmetry_space_group_name_H-M 'P 1'
_symmetry_Int_Tables_number 1
_symmetry_space_group_name_Hall 'P 1'
_cell_length_a 3.941
_cell_length_b 6.405
_cell_length_c 7.120
_cell_angle_alpha 70.53
_cell_angle_beta 77.15
_cell_angle_gamma 72.14
loop_
_atom_site_label
_atom_site_fract_x
_atom_site_fract_y
_atom_site_fract_z
K1 0.000 0.000 0.000
K2 0.298 0.612 0.740
As1 0.062 0.312 0.366
F1 0.264 0.547 0.310
F2 0.302 0.273 0.101
F3 0.428 0.074 0.461
F4 0.658 0.795 0.884
F5 0.944 0.344 0.639

Record 2
# PBE-GGA K2As2F7, optimized geometry
# Size of the total moment ... 2.0 μB/cell
# N(E_F) ... 0.127 states/eV/f.u.
# Formation energy from raw total energies ... -2361 kJ/mol of formula units
data_K2As2F7
_symmetry_space_group_name_H-M 'P 1 21 1'
_symmetry_Int_Tables_number 4
_symmetry_space_group_name_Hall 'P 2yb'
_cell_length_a 5.226
_cell_length_b 13.272
_cell_length_c 5.564
_cell_angle_alpha 90.00
_cell_angle_beta 93.16
_cell_angle_gamma 90.00
loop_
_atom_site_label
_atom_site_fract_x
_atom_site_fract_y
_atom_site_fract_z
K1 0.227 0.000 0.336
K2 0.273 0.716 0.663
As1 0.243 0.268 0.829
As2 0.257 0.448 0.171
F1 0.101 0.804 0.191
F2 0.125 0.160 0.626
F3 0.188 0.185 0.099
F4 0.251 0.358 0.500
F5 0.312 0.531 0.901
F6 0.375 0.556 0.374
F7 0.398 0.912 0.810

Record 3
# PBE-GGA K3AsF, optimized geometry
# Size of the total moment ... 1.0 μB/cell
# N(E_F) ... 2.779 states/eV/f.u.
# Formation energy from raw total energies ... -587 kJ/mol of formula units
data_K3AsF
_symmetry_space_group_name_H-M 'P m -3 m'
_symmetry_Int_Tables_number 221
_symmetry_space_group_name_Hall '-P 4 2 3'
_cell_length_a 5.264
_cell_length_b 5.264
_cell_length_c 5.264
_cell_angle_alpha 90.00
_cell_angle_beta 90.00
_cell_angle_gamma 90.00
loop_
_atom_site_label
_atom_site_fract_x
_atom_site_fract_y
_atom_site_fract_z
K1 0.000 0.000 0.500
As1 0.500 0.500 0.500
F1 0.000 0.000 0.000

Record 4
# PBE-GGA K2AsF8, optimized geometry
# Size of the total moment ... 2.0 μB/cell
# Formation energy from raw total energies ... -2401 kJ/mol of formula units
data_K2AsF8
_symmetry_space_group_name_H-M 'C 1 2/m 1'
_symmetry_Int_Tables_number 12
_symmetry_space_group_name_Hall '-C 2y'
_cell_length_a 10.884
_cell_length_b 7.963
_cell_length_c 5.000
_cell_angle_alpha 90.00
_cell_angle_beta 113.27
_cell_angle_gamma 90.00
loop_
_atom_site_label
_atom_site_fract_x
_atom_site_fract_y
_atom_site_fract_z
K1 0.172 0.000 0.302
As1 0.000 0.500 0.000
F1 0.072 0.000 0.703
F2 0.102 0.500 0.801
F3 0.104 0.343 0.234

Record 5
# PBE-GGA KAs2F7, optimized geometry
# Size of the total moment ... 0.0 μB/cell
# N(E_F) ... 0.000 states/eV/f.u.
# Formation energy from raw total energies ... -2254 kJ/mol of formula units
data_KAs2F7
_symmetry_space_group_name_H-M 'P 1 21/c 1'
_symmetry_Int_Tables_number 14
_symmetry_space_group_name_Hall '-P 2ybc'
_cell_length_a 11.145
_cell_length_b 7.446
_cell_length_c 8.944
_cell_angle_alpha 90.00
_cell_angle_beta 110.66
_cell_angle_gamma 90.00
loop_
_atom_site_label
_atom_site_fract_x
_atom_site_fract_y
_atom_site_fract_z
K1 0.073 0.157 0.223
As1 0.229 0.683 0.161
As2 0.395 0.184 0.130
F1 0.071 0.676 0.602
F2 0.136 0.506 0.208
F3 0.178 0.630 0.951
F4 0.227 0.214 0.021
F5 0.367 0.137 0.310
F6 0.368 0.504 0.193
F7 0.381 0.550 0.571

Record 6
# PBE-GGA KAs2F8, optimized geometry
# Size of the total moment ... 0.0 μB/cell
# N(E_F) ... 3.213 states/eV/f.u.
# Formation energy from raw total energies ... -2246 kJ/mol of formula units
data_KAs2F8
_symmetry_space_group_name_H-M 'C 1 2/m 1'
_symmetry_Int_Tables_number 12
_symmetry_space_group_name_Hall '-C 2y'
_cell_length_a 13.818
_cell_length_b 6.451
_cell_length_c 4.384
_cell_angle_alpha 90.00
_cell_angle_beta 101.64
_cell_angle_gamma 90.00
loop_
_atom_site_label
_atom_site_fract_x
_atom_site_fract_y
_atom_site_fract_z
K1 0.000 0.000 0.000
As1 0.171 0.500 0.409
F1 0.042 0.500 0.278
F2 0.155 0.205 0.403
F3 0.179 0.500 0.827

Record 7
# PBE-GGA KAsF5, optimized geometry
# Size of the total moment ... 0.0 μB/cell
# N(E_F) ... 0.000 states/eV/f.u.
# Formation energy from raw total energies ... -1571 kJ/mol of formula units
data_KAsF5
_symmetry_space_group_name_H-M 'P -1'
_symmetry_Int_Tables_number 2
_symmetry_space_group_name_Hall '-P 1'
_cell_length_a 5.439
_cell_length_b 5.917
_cell_length_c 8.621
_cell_angle_alpha 70.95
_cell_angle_beta 73.47
_cell_angle_gamma 73.41
loop_
_atom_site_label
_atom_site_fract_x
_atom_site_fract_y
_atom_site_fract_z
K1 0.001 0.495 0.269
As1 0.500 0.000 0.000
As2 0.500 0.000 0.500
F1 0.132 0.172 0.553
F2 0.229 0.249 0.021
F3 0.284 0.813 0.023
F4 0.426 0.689 0.647
F5 0.476 0.906 0.222

Record 8
# PBE-GGA K2AsF, optimized geometry
# Size of the total moment ... 8.0 μB/cell
# N(E_F) ... 3.238 states/eV/f.u.
# Formation energy from raw total energies ... -329 kJ/mol of formula units
data_K2AsF
_symmetry_space_group_name_H-M 'F m -3 m'
_symmetry_Int_Tables_number 225
_symmetry_space_group_name_Hall '-F 4 2 3'
_cell_length_a 7.723
_cell_length_b 7.723
_cell_length_c 7.723
_cell_angle_alpha 90.00
_cell_angle_beta 90.00
_cell_angle_gamma 90.00
loop_
_atom_site_label
_atom_site_fract_x
_atom_site_fract_y
_atom_site_fract_z
K1 0.250 0.250 0.250
As1 0.000 0.000 0.000
F1 0.000 0.000 0.500

Record 9
# PBE-GGA K2AsF, optimized geometry
# Size of the total moment ... 8.0 μB/cell
# N(E_F) ... 0.811 states/eV/f.u.
# Formation energy from raw total energies ... -428 kJ/mol of formula units
data_K2AsF
_symmetry_space_group_name_H-M 'I -4 2 d'
_symmetry_Int_Tables_number 122
_symmetry_space_group_name_Hall 'I -4 2bw'
_cell_length_a 7.767
_cell_length_b 7.767
_cell_length_c 8.659
_cell_angle_alpha 90.00
_cell_angle_beta 90.00
_cell_angle_gamma 90.00
loop_
_atom_site_label
_atom_site_fract_x
_atom_site_fract_y
_atom_site_fract_z
K1 0.158 0.750 0.125
As1 0.000 0.000 0.500
F1 0.000 0.000 0.000

Record 10
# PBE-GGA K3AsF, optimized geometry
# Size of the total moment ... 0.0 μB/cell
# N(E_F) ... 0.468 states/eV/f.u.
# Formation energy from raw total energies ... -587 kJ/mol of formula units
data_K3AsF
_symmetry_space_group_name_H-M 'C 1 2/m 1'
_symmetry_Int_Tables_number 12
_symmetry_space_group_name_Hall '-C 2y'
_cell_length_a 13.907
_cell_length_b 4.341
_cell_length_c 10.797
_cell_angle_alpha 90.00
_cell_angle_beta 101.84
_cell_angle_gamma 90.00
loop_
_atom_site_label
_atom_site_fract_x
_atom_site_fract_y
_atom_site_fract_z
K1 0.119 0.000 0.220
K2 0.149 0.500 0.902
K3 0.154 0.000 0.606
As1 0.030 0.500 0.401
F1 0.242 0.500 0.147

- Which formula does entry 6 have?
  KAs2F8